Here is a geometry-optimized Y2MnSi structure from Alexandria. Energies are from GGA-PBE.

Unit cell a=6.8091 b=6.8091 c=6.8091 alpha=90.00 beta=90.00 gamma=90.00
Last column: nearest neighbours and their distance in Å.
Fractional positions:
1 Y 0.0000 0.0000 0.0000  4 Mn 2.95, 4 Y 2.95
2 Y 0.0000 0.5000 0.5000  4 Mn 2.95, 4 Y 2.95
3 Y 0.2500 0.2500 0.2500  4 Si 2.95, 4 Y 2.95
4 Y 0.2500 0.7500 0.7500  4 Si 2.95, 4 Y 2.95
5 Y 0.5000 0.0000 0.5000  4 Mn 2.95, 4 Y 2.95
6 Y 0.5000 0.5000 0.0000  4 Mn 2.95, 4 Y 2.95
7 Y 0.7500 0.2500 0.7500  4 Si 2.95, 4 Y 2.95
8 Y 0.7500 0.7500 0.2500  4 Si 2.95, 4 Y 2.95
9 Mn 0.2500 0.2500 0.7500  4 Si 2.95, 4 Y 2.95
10 Mn 0.2500 0.7500 0.2500  4 Si 2.95, 4 Y 2.95
11 Mn 0.7500 0.2500 0.2500  4 Si 2.95, 4 Y 2.95
12 Mn 0.7500 0.7500 0.7500  4 Y 2.95, 4 Si 2.95
13 Si 0.0000 0.0000 0.5000  4 Mn 2.95, 4 Y 2.95
14 Si 0.0000 0.5000 0.0000  4 Mn 2.95, 4 Y 2.95
15 Si 0.5000 0.0000 0.0000  4 Mn 2.95, 4 Y 2.95
16 Si 0.5000 0.5000 0.5000  4 Y 2.95, 4 Mn 2.95

Here is a geometry-optimized LaAg2Br structure from Alexandria. Energies are from GGA-PBE.

Properties
As for the energy relative to the lowest polymorph listed for this composition: 0.3529 eV per atom.

Unit cell a=7.4637 b=7.4637 c=7.4637 alpha=90.00 beta=90.00 gamma=90.00
Last column: nearest neighbours and their distance in Å.
Fractional positions:
1 La 0.0000 0.0000 0.0000  8 Ag 3.23
2 La 0.0000 0.5000 0.5000  8 Ag 3.23
3 La 0.5000 0.0000 0.5000  8 Ag 3.23
4 La 0.5000 0.5000 0.0000  8 Ag 3.23
5 Ag 0.2500 0.2500 0.2500  4 La 3.23, 4 Br 3.23
6 Ag 0.2500 0.2500 0.7500  4 La 3.23, 4 Br 3.23
7 Ag 0.2500 0.7500 0.2500  4 La 3.23, 4 Br 3.23
8 Ag 0.2500 0.7500 0.7500  4 La 3.23, 4 Br 3.23
9 Ag 0.7500 0.2500 0.2500  4 La 3.23, 4 Br 3.23
10 Ag 0.7500 0.2500 0.7500  4 La 3.23, 4 Br 3.23
11 Ag 0.7500 0.7500 0.2500  4 La 3.23, 4 Br 3.23
12 Ag 0.7500 0.7500 0.7500  4 La 3.23, 4 Br 3.23
13 Br 0.0000 0.0000 0.5000  8 Ag 3.23
14 Br 0.0000 0.5000 0.0000  8 Ag 3.23
15 Br 0.5000 0.0000 0.0000  8 Ag 3.23
16 Br 0.5000 0.5000 0.5000  8 Ag 3.23

Energy relative to the elements, uncorrected per entry: 0.43 -0.83 eV/f.u.
Mass density per entry: 5.49 6.94 Mg/m³
E per entry: -6.77 -3.28 eV per atom